(1)
This record from Alexandria describes Y2Ho3Tm6Th after structural relaxation. The functional is PBE.

Cell: 6.103 6.103 11.656 Å, 95.02 95.02 119.99°
Positions (direct):
Tm1 0.245 0.245 0.749
Tm2 0.586 0.916 0.749
Ho1 0.500 0.500 0.500
Th1 0.000 0.000 0.000
Ho2 0.833 0.167 0.500
Y1 0.333 0.667 0.000
Ho3 0.167 0.833 0.500
Tm3 0.084 0.414 0.251
Tm4 0.414 0.084 0.251
Tm5 0.916 0.586 0.749
Tm6 0.755 0.755 0.251
Y2 0.667 0.333 0.000

---

(2)
This record from Alexandria describes Y6HoTm2Th3 after structural relaxation. The functional is PBE.

Cell: 6.180 6.180 11.738 Å, 95.05 95.05 119.97°
Positions (direct):
Y1 0.750 0.750 0.252
Th1 0.833 0.167 0.500
Ho1 0.000 0.000 0.000
Y2 0.916 0.583 0.748
Tm1 0.667 0.333 0.000
Th2 0.500 0.500 0.500
Y3 0.583 0.916 0.748
Y4 0.250 0.250 0.748
Th3 0.167 0.833 0.500
Tm2 0.333 0.667 0.000
Y5 0.084 0.417 0.252
Y6 0.417 0.084 0.252

---

(3)
This record from Alexandria describes HoTmThZr after structural relaxation. The functional is PBE.

Cell: 5.457 5.457 5.457 Å, 60.00 60.00 60.00°
Positions (direct):
Tm1 0.750 0.750 0.750
Th1 0.000 0.000 0.000
Zr1 0.250 0.250 0.250
Ho1 0.500 0.500 0.500

---

no.,formation enthalpy at 0 K (meV/atom),final energy (eV/atom)
1,28,-5.047
2,30,-6.184
3,159,-6.096